Computed, not measured: a geometry-optimized CdFeTcF2 structure at the GGA+U level of DFT.

Geometry as CIF:
```
data_CdFeTcF2
_chemical_formula_sum 'Cd1 Fe1 Tc1 F2'
_cell_length_a 4.152
_cell_length_b 4.152
_cell_length_c 6.495
_cell_angle_alpha 90.00
_cell_angle_beta 90.00
_cell_angle_gamma 90.00
_space_group_name_H-M_alt 'P 1'
_space_group_IT_number 1
loop_
_space_group_symop_operation_xyz
'x,y,z'
loop_
_atom_site_label
_atom_site_type_symbol
_atom_site_fract_x
_atom_site_fract_y
_atom_site_fract_z
Cd1 Cd 0.000 0.000 0.000
Fe1 Fe 0.000 0.000 0.500
Tc1 Tc 0.500 0.500 0.500
F1 F 0.000 0.500 0.000
F2 F 0.500 0.000 0.000
```

Output
Calculated total energy: -19.92 eV per formula unit
DOS at the Fermi energy: 6.82 states/eV per cell